Entry from Alexandria: crystalline SiGeTe2N at its relaxed geometry (GGA-PBE).

**Energy relative to the lowest polymorph listed for this composition**: 0.573 eV per atom
**SG**: No. 123
**Formation energy (no corrections)**: 4.27 eV/f.u.
**D(E_F)**: 0.452 states/eV per atom

Cell and atoms, written as POSCAR:
```
SiGeTe2N
1.0
4.957 0.000 0.000
0.000 4.957 0.000
0.000 0.000 4.242
Si Ge Te N
1 1 2 1
Direct
0.000 0.000 0.000
0.500 0.500 0.000
0.000 0.500 0.500
0.500 0.000 0.500
0.500 0.500 0.500
```

Entry from Alexandria: crystalline SiGeTeN2 at its relaxed geometry (GGA-PBE).

**Energy relative to the lowest polymorph listed for this composition**: 0.000 eV per atom
**SG**: No. 123
**Formation energy (no corrections)**: 4.24 eV/f.u.
**D(E_F)**: 0.236 states/eV per atom

Cell and atoms, written as POSCAR:
```
SiGeTeN2
1.0
3.669 0.000 0.000
0.000 3.669 0.000
0.000 0.000 6.298
Si Ge Te N
1 1 1 2
Direct
0.000 0.000 0.000
0.500 0.500 0.500
0.000 0.000 0.500
0.000 0.500 0.000
0.500 0.000 0.000
```

Entry from Alexandria: crystalline SiGeTe2N at its relaxed geometry (GGA-PBE).

**Energy relative to the lowest polymorph listed for this composition**: 0.558 eV per atom
**SG**: No. 123
**Formation energy (no corrections)**: 4.19 eV/f.u.
**D(E_F)**: 0.400 states/eV per atom

Cell and atoms, written as POSCAR:
```
SiGeTe2N
1.0
5.684 0.000 0.000
0.000 5.684 0.000
0.000 0.000 3.504
Si Ge Te N
1 1 2 1
Direct
0.000 0.000 0.000
0.500 0.500 0.500
0.000 0.500 0.500
0.500 0.000 0.500
0.500 0.500 0.000
```

Entry from Alexandria: crystalline SiGeTeN2 at its relaxed geometry (GGA-PBE).

**Energy relative to the lowest polymorph listed for this composition**: 0.474 eV per atom
**SG**: No. 123
**Formation energy (no corrections)**: 6.61 eV/f.u.
**D(E_F)**: 0.343 states/eV per atom

Cell and atoms, written as POSCAR:
```
SiGeTeN2
1.0
3.774 0.000 0.000
0.000 3.774 0.000
0.000 0.000 6.669
Si Ge Te N
1 1 1 2
Direct
0.000 0.000 0.000
0.500 0.500 0.500
0.500 0.500 0.000
0.000 0.500 0.500
0.500 0.000 0.500
```

Entry from Alexandria: crystalline SiGeTe2N at its relaxed geometry (GGA-PBE).

**Energy relative to the lowest polymorph listed for this composition**: 0.000 eV per atom
**SG**: No. 123
**Formation energy (no corrections)**: 1.40 eV/f.u.
**D(E_F)**: 0.568 states/eV per atom

Cell and atoms, written as POSCAR:
```
SiGeTe2N
1.0
5.698 0.000 0.000
0.000 5.698 0.000
0.000 0.000 3.293
Si Ge Te N
1 1 2 1
Direct
0.000 0.000 0.000
0.500 0.500 0.500
0.000 0.500 0.000
0.500 0.000 0.000
0.000 0.000 0.500
```

Entry from Alexandria: crystalline TiSi2GeN at its relaxed geometry (GGA-PBE).

**Energy relative to the lowest polymorph listed for this composition**: 0.000 eV per atom
**SG**: No. 123
**Formation energy (no corrections)**: 7.51 eV/f.u.
**D(E_F)**: 0.451 states/eV per atom

Cell and atoms, written as POSCAR:
```
TiSi2GeN
1.0
4.813 0.000 0.000
0.000 4.813 0.000
0.000 0.000 4.912
Ti Si Ge N
1 2 1 1
Direct
0.000 0.000 0.000
0.000 0.500 0.000
0.500 0.000 0.000
0.000 0.000 0.500
0.500 0.500 0.500
```

Entry from Alexandria: crystalline TiSi2GeN at its relaxed geometry (GGA-PBE).

**Energy relative to the lowest polymorph listed for this composition**: 0.294 eV per atom
**SG**: No. 123
**Formation energy (no corrections)**: 8.98 eV/f.u.
**D(E_F)**: 0.985 states/eV per atom

Cell and atoms, written as POSCAR:
```
TiSi2GeN
1.0
4.544 0.000 0.000
0.000 4.544 0.000
0.000 0.000 4.867
Ti Si Ge N
1 2 1 1
Direct
0.000 0.000 0.000
0.000 0.500 0.500
0.500 0.000 0.500
0.000 0.000 0.500
0.500 0.500 0.000
```

Entry from Alexandria: crystalline Y2SiGeN at its relaxed geometry (GGA-PBE).

**SG**: No. 123
**Formation energy (no corrections)**: -0.34 eV/f.u.
**D(E_F)**: 0.543 states/eV per atom

Cell and atoms, written as POSCAR:
```
Y2SiGeN
1.0
5.511 0.000 0.000
0.000 5.511 0.000
0.000 0.000 3.495
Y Si Ge N
2 1 1 1
Direct
0.000 0.500 0.000
0.500 0.000 0.000
0.000 0.000 0.000
0.500 0.500 0.500
0.000 0.000 0.500
```

Entry from Alexandria: crystalline Y4SiGeN at its relaxed geometry (GGA-PBE).

**SG**: No. 63
**Formation energy (no corrections)**: -6.68 eV/f.u.
**D(E_F)**: 0.617 states/eV per atom

Cell and atoms, written as POSCAR:
```
Y4SiGeN
1.0
3.244 -7.637 0.000
3.244 7.637 0.000
0.000 0.000 6.488
Y Si Ge N
8 2 2 2
Direct
0.000 0.500 0.000
0.000 0.500 0.500
0.080 0.920 0.750
0.419 0.581 0.750
0.500 0.000 0.000
0.500 0.000 0.500
0.581 0.419 0.250
0.920 0.080 0.250
0.113 0.887 0.250
0.887 0.113 0.750
0.389 0.611 0.250
0.611 0.389 0.750
0.251 0.749 0.750
0.749 0.251 0.250
```

Entry from Alexandria: crystalline Zn2SiGeN4 at its relaxed geometry (GGA-PBE).

**Energy relative to the lowest polymorph listed for this composition**: 0.000 eV per atom
**SG**: No. 4
**Formation energy (no corrections)**: -3.87 eV/f.u.
**D(E_F)**: 0.000 states/eV per atom

Cell and atoms, written as POSCAR:
```
Zn2SiGeN4
1.0
5.396 0.000 0.000
0.000 5.153 0.000
-0.032 0.000 6.406
Zn Si Ge N
4 2 2 8
Direct
0.079 0.000 0.372
0.410 0.501 0.879
0.590 0.001 0.121
0.921 0.500 0.628
0.074 0.999 0.879
0.926 0.499 0.121
0.425 0.503 0.370
0.575 0.003 0.630
0.057 0.341 0.904
0.091 0.401 0.348
0.385 0.899 0.860
0.437 0.865 0.388
0.563 0.365 0.612
0.615 0.399 0.140
0.909 0.901 0.652
0.943 0.841 0.096
```

Entry from Alexandria: crystalline Zn2SiGeN4 at its relaxed geometry (GGA-PBE).

**Energy relative to the lowest polymorph listed for this composition**: 0.065 eV per atom
**SG**: No. 121
**Formation energy (no corrections)**: -3.35 eV/f.u.
**D(E_F)**: 0.000 states/eV per atom

Cell and atoms, written as POSCAR:
```
Zn2SiGeN4
1.0
4.353 0.000 0.000
0.000 4.353 0.000
0.000 0.000 9.332
Zn Si Ge N
4 2 2 8
Direct
0.000 0.500 0.250
0.000 0.500 0.750
0.500 0.000 0.250
0.500 0.000 0.750
0.000 0.000 0.000
0.500 0.500 0.500
0.000 0.000 0.500
0.500 0.500 0.000
0.238 0.238 0.108
0.238 0.762 0.892
0.262 0.262 0.608
0.262 0.738 0.392
0.738 0.262 0.392
0.738 0.738 0.608
0.762 0.238 0.892
0.762 0.762 0.108
```

Entry from Alexandria: crystalline ZrSi2GeN at its relaxed geometry (GGA-PBE).

**SG**: No. 123
**Formation energy (no corrections)**: 4.36 eV/f.u.
**D(E_F)**: 0.878 states/eV per atom

Cell and atoms, written as POSCAR:
```
ZrSi2GeN
1.0
5.252 0.000 0.000
0.000 5.252 0.000
0.000 0.000 4.066
Zr Si Ge N
1 2 1 1
Direct
0.000 0.000 0.000
0.000 0.500 0.000
0.500 0.000 0.000
0.500 0.500 0.500
0.000 0.000 0.500
```

> Which formula does entry 4 have?

SiGeTeN2

> Which value of D(E_F) does entry 12 give?

0.878 states/eV per atom

> Among the records above, which one has the highest D(E_F)?

number 7

Repeat the first record exactly.
Entry from Alexandria: crystalline SiGeTe2N at its relaxed geometry (GGA-PBE).

**Energy relative to the lowest polymorph listed for this composition**: 0.573 eV per atom
**SG**: No. 123
**Formation energy (no corrections)**: 4.27 eV/f.u.
**D(E_F)**: 0.452 states/eV per atom

Cell and atoms, written as POSCAR:
```
SiGeTe2N
1.0
4.957 0.000 0.000
0.000 4.957 0.000
0.000 0.000 4.242
Si Ge Te N
1 1 2 1
Direct
0.000 0.000 0.000
0.500 0.500 0.000
0.000 0.500 0.500
0.500 0.000 0.500
0.500 0.500 0.500
```